Cs3Np3VS8 (PBE, relaxed); calculated volume = 29.63 Å³ per atom; Fermi-level density of states = 32.89 states/eV/f.u.; formation energy (no corrections) = -123.0 kJ/mol of atoms; total moment = 13.00 μB per formula unit
1.0
-5.3607 -1.2724 -5.6636
7.6355 -1.4941 -1.3800
-4.3236 -6.2784 5.5029
V S Np Cs
1 8 3 3
Cartesian
-2.1618 -3.1392 2.7514 V
-0.7707 -5.1220 1.8801 S
3.2487 -5.9083 1.1537 S
0.4266 -6.5783 -1.8277 S
-3.3771 -5.8950 -0.9910 S
-2.4754 -2.4666 0.2871 S
-1.2781 -3.9229 -3.4207 S
-5.2975 -3.1366 -2.6944 S
1.3283 -3.1500 -0.5496 S
-1.0244 -4.5225 -0.7703 Np
1.6560 -3.8863 2.0615 Np
-4.8421 -3.7754 -0.0803 Np
0.0000 0.0000 0.0000 Cs
3.8177 -0.7471 -0.6900 Cs
1.1374 -1.3832 -3.5218 Cs

KHf3Sc (PBE, relaxed); calculated volume = 29.66 Å³ per atom; Fermi-level density of states = 9.58 states/eV/f.u.; energy of formation from the pure elements = 1.389 eV per atom; ΔE to the lowest computed polymorph = 0.00 kJ per mole of atoms; total moment = 0.00 μB per formula unit
1.0
-3.3474 3.5853 1.9900
0.1119 -2.4880 4.6709
4.0990 2.9959 1.4975
Hf Sc K
3 1 1
Cartesian
-1.6737 1.7927 0.9950 Hf
0.0560 -1.2440 2.3354 Hf
2.0495 1.4979 0.7488 Hf
0.0000 0.0000 0.0000 Sc
0.4318 2.0466 4.0792 K

ScTl2SnSe4 (PBE, relaxed); calculated volume = 27.64 Å³ per atom; Fermi-level density of states = 2.85 states/eV/f.u.; formation energy (no corrections) = -79.4 kJ/mol of atoms; total moment = 0.00 μB per formula unit
1.0
-1.4631 -3.7142 -0.3812
3.4385 -0.6155 -7.2006
6.5760 -2.7016 1.0840
Se Sc Sn Tl
4 1 1 2
Cartesian
1.1849 -4.5660 -2.2450 Se
7.3665 -2.4653 -4.2529 Se
5.0564 -3.9925 -1.5993 Se
3.4950 -3.0388 -4.8985 Se
5.0072 -1.6586 -3.0583 Sc
0.9877 -2.1649 -3.7909 Sn
6.5760 -2.7016 1.0840 Tl
2.5565 -3.2079 0.3514 Tl

BaLiAl2 (PBE, relaxed); calculated volume = 31.63 Å³ per atom; Fermi-level density of states = 1.82 states/eV/f.u.; energy of formation from the pure elements = 0.060 eV per atom; ΔE to the lowest computed polymorph = 22.96 kJ per mole of atoms; total moment = 0.00 μB per formula unit
1.0
5.1520 0.0000 0.0000
0.0000 5.1520 0.0000
2.5760 2.5760 9.5319
Li Al Ba
2 4 2
Cartesian
2.5760 5.1520 4.7660 Li
2.5760 2.5760 0.0000 Li
3.8640 5.1574 7.1489 Al
2.5705 1.2880 2.3830 Al
6.4400 5.1465 7.1489 Al
2.5814 3.8640 2.3830 Al
0.0000 0.0000 0.0000 Ba
5.1520 2.5760 4.7660 Ba

Li5Zn2Cd2Au (PBE, relaxed); calculated volume = 17.57 Å³ per atom; Fermi-level density of states = 3.67 states/eV/f.u.; energy of formation from the pure elements = -0.190 eV per atom; total moment = 0.00 μB per formula unit
1.0
-0.7531 0.6519 3.0203
-8.3456 -6.3502 -0.7103
5.8851 -8.0940 3.2144
Li Cd Zn Au
10 4 4 2
Cartesian
2.5660 -3.7210 3.1174 Li
4.0844 -6.4171 4.0779 Li
-0.7517 -8.6801 3.3605 Li
-4.5494 -2.8492 1.1550 Li
-7.2980 -7.3752 1.4465 Li
0.2100 -5.9424 3.0094 Li
-2.4619 -5.1122 2.1639 Li
-1.7920 -1.1798 1.4822 Li
-3.4236 -7.8499 2.5151 Li
-1.4216 -12.6125 4.0422 Li
0.5176 -3.7498 0.9384 Cd
-2.9781 -10.6943 1.5657 Cd
2.1316 -8.8077 2.4325 Cd
-4.5921 -5.6365 0.0716 Cd
2.6019 -6.0466 1.9539 Zn
-5.0625 -8.3976 0.5502 Zn
-0.2578 -11.0277 2.3159 Zn
-2.2027 -3.4165 0.1882 Zn
-1.2303 -7.2221 1.2521 Au
0.0000 0.0000 0.0000 Au

Nd12Y2Sc (PBE, relaxed); calculated volume = 34.78 Å³ per atom; Fermi-level density of states = 22.41 states/eV/f.u.; energy of formation from the pure elements = 0.159 eV per atom; total moment = 0.00 μB per formula unit
1.0
6.6605 -1.5469 0.0000
-1.5469 6.6605 0.0000
0.0000 0.0000 24.8586
Nd Y Sc
24 4 2
Cartesian
4.0356 3.6348 10.9231 Nd
0.0000 0.0000 19.9761 Nd
2.5568 2.5568 19.9761 Nd
0.0000 0.0000 4.8825 Nd
0.4971 4.6008 3.1133 Nd
0.0000 0.0000 16.8194 Nd
4.7111 0.6074 14.5663 Nd
2.5568 2.5568 8.0392 Nd
4.6008 0.4971 21.7454 Nd
0.4025 4.5062 14.5663 Nd
4.5062 0.4025 10.2923 Nd
1.0780 1.4788 10.9231 Nd
2.5568 2.5568 16.8194 Nd
1.2647 1.2921 23.0850 Nd
3.8489 3.8215 23.0850 Nd
0.6074 4.7111 10.2923 Nd
1.4788 1.0780 13.9355 Nd
0.0000 0.0000 8.0392 Nd
0.5129 4.6166 21.7454 Nd
2.5568 2.5568 4.8825 Nd
4.6166 0.5129 3.1133 Nd
1.2921 1.2647 1.7736 Nd
3.8215 3.8489 1.7736 Nd
3.6348 4.0356 13.9355 Nd
3.3303 -0.7735 6.5772 Y
3.3303 -0.7735 18.1707 Y
-0.7735 3.3303 18.2814 Y
-0.7735 3.3303 6.6880 Y
3.3303 -0.7735 24.8455 Sc
-0.7735 3.3303 0.0131 Sc